[1]
# Rb3Li2InCl9 GGA-PBE optimized geometry
# - formation energy from raw total energies (eV/atom) = -1.53
data_Rb3Li2InCl9
_cell_length_a 7.2220
_cell_length_b 7.2220
_cell_length_c 9.0277
_cell_angle_alpha 90.00
_cell_angle_beta 90.00
_cell_angle_gamma 120.00
_space_group_name_H-M_alt 'P -3 m 1'
_space_group_IT_number 164
_space_group_name_Hall '-P 3 2"'
loop_
_atom_site_label
_atom_site_fract_x
_atom_site_fract_y
_atom_site_fract_z
Rb1 0.0000 0.0000 0.0000
Rb2 0.3333 0.6667 0.6729
Li1 0.3333 0.6667 0.1447
In1 0.0000 0.0000 0.5000
Cl1 0.0000 0.5000 0.0000
Cl2 0.1654 0.3309 0.3367



[2]
# Cr2ReSi2 GGA-PBE optimized geometry
# - formation energy from raw total energies (eV/atom) = -0.14
data_Cr2ReSi2
_cell_length_a 6.460
_cell_length_b 6.460
_cell_length_c 3.002
_cell_angle_alpha 90.00
_cell_angle_beta 90.00
_cell_angle_gamma 90.00
_space_group_name_H-M_alt 'P 4/m b m'
_space_group_IT_number 127
_space_group_name_Hall '-P 4 2ab'
loop_
_atom_site_label
_atom_site_fract_x
_atom_site_fract_y
_atom_site_fract_z
Cr1 0.159 0.341 0.000
Re1 0.000 0.000 0.500
Si1 0.135 0.635 0.500



no.,electronic total energy (eV/atom)
1,-3.27
2,-8.65